Computed, not measured: a relaxed NbCo crystal at the PBE-GGA level of DFT.

## Properties
- Fermi-level density of states: 6.0 states/eV per cell
- V: 14.325 A^3/atom
- Energy of formation from the pure elements: 0.0145 eV per atom
- E_tot: -8.5733 eV/atom

a = 3.711 Å, b = 3.711 Å, c = 8.322 Å
α = 90.00°, β = 90.00°, γ = 90.00°
Space group I4_1/amd (No. 141, origin choice 2)
Unique sites:
Nb 0.000 0.250 0.375 (multiplicity 4)
Co 0.000 0.250 0.875 (multiplicity 4)